No. 1
This record from the Alexandria database describes a relaxed FeRh2Se crystal. The functional is PBE.

SG: F-43m
raw formation energy: 0.824 eV/f.u.

Cell lengths 4.3435, 4.3435, 4.3435 Å; angles 60.00, 60.00, 60.00 degrees
With the nearest neighbours (Å) after each atom.
Fractional positions:
Fe 0.5000 0.5000 0.5000  4 Se 2.66, 4 Rh 2.66
Se 0.7500 0.7500 0.7500  4 Fe 2.66, 4 Rh 2.66
Rh 0.0000 0.0000 0.0000  4 Se 2.66, 4 Rh 2.66
Rh 0.2500 0.2500 0.2500  4 Rh 2.66, 4 Fe 2.66

No. 2
This record from the Alexandria database describes a relaxed Ba12Cd5N2 crystal. The functional is PBE.

SG: C2/m
raw formation energy: -3.361 eV/f.u.

Cell lengths 8.9229, 10.3215, 11.1455 Å; angles 105.46, 90.00, 115.61 degrees
With the nearest neighbours (Å) after each atom.
Fractional positions:
Ba 0.9013 0.3044 0.5726  4 Cd 3.51-3.61
N 0.2183 0.0000 0.0000  4 Ba 2.67-2.75
Ba 0.5020 0.0040 0.8151  2 N 3.26, 2 Cd 3.48-3.50
Ba 0.5969 0.6956 0.4274  4 Cd 3.51-3.61
Cd 0.3064 0.6129 0.1610  7 Ba 3.50-3.70
Cd 0.6936 0.3871 0.8390  7 Ba 3.50-3.70
Ba 0.4980 0.9960 0.1849  2 N 3.26, 2 Cd 3.48-3.50
Cd 0.6886 0.3772 0.3481  7 Ba 3.48-3.63
Ba 0.4031 0.3044 0.5726  4 Cd 3.51-3.61
Ba 0.8931 0.2982 0.0754  1 N 2.67
Ba 0.9993 0.9985 0.1733  2 N 2.75
Ba 0.0007 0.0015 0.8267  2 N 2.75
Ba 0.0987 0.6956 0.4274  4 Cd 3.51-3.61
Cd 0.3114 0.6228 0.6519  7 Ba 3.48-3.63
Cd 0.0000 0.0000 0.5000  6 Ba 3.51-3.64
N 0.7817 0.0000 0.0000  4 Ba 2.67-2.75
Ba 0.1069 0.7018 0.9246  1 N 2.67
Ba 0.5949 0.7018 0.9246  1 N 2.67
Ba 0.4051 0.2982 0.0754  1 N 2.67

No. 3
This record from the Alexandria database describes a relaxed InSe2 crystal. The functional is PBE.

SG: P6_3/mmc
raw formation energy: 0.211 eV/f.u.

Cell lengths 5.1575, 5.1575, 5.8645 Å; angles 90.00, 90.00, 120.00 degrees
With the nearest neighbours (Å) after each atom.
Fractional positions:
In 0.3333 0.6667 0.2500  5 Se 2.93-2.98
Se 0.0000 0.0000 0.0000  2 Se 2.93
Se 0.6667 0.3333 0.2500  5 In 2.93-2.98
In 0.6667 0.3333 0.7500  5 Se 2.93-2.98
Se 0.0000 0.0000 0.5000  2 Se 2.93
Se 0.3333 0.6667 0.7500  5 In 2.93-2.98